The following is a GGA-PBEsol calculation of crystalline La2Rh at its relaxed geometry, from the Alexandria database.

## Properties
formation enthalpy at 0 K: -1.48 eV/f.u.
E: -0.2488 Ha/atom
M_tot: 0.0 Bohr magnetons per cell

Structure (CIF):
```
data_La2Rh
_chemical_formula_sum 'La4 Rh2'
_cell_length_a 3.917
_cell_length_b 6.424
_cell_length_c 6.868
_cell_angle_alpha 90.00
_cell_angle_beta 90.00
_cell_angle_gamma 107.75
_space_group_name_H-M_alt 'P 1'
_space_group_IT_number 1
_space_group_name_Hall 'P 1'
loop_
_atom_site_label
_atom_site_fract_x
_atom_site_fract_y
_atom_site_fract_z
La1 0.280 0.560 0.026
La2 0.000 0.000 0.777
La3 0.720 0.440 0.526
La4 0.000 0.000 0.277
Rh1 0.379 0.759 0.529
Rh2 0.621 0.241 0.029
```